Model A:
Here is crystalline LaHo9Er2 at its relaxed geometry from Alexandria via LeMat-Bulk. Energies are from PBE.

Lattice parameters (Å, degrees): 3.510 11.203 11.203 120.00 90.00 90.00
Atoms (fractional coordinates):
1 Er 0.000 0.667 0.333
2 Er 0.000 0.333 0.667
3 Ho 0.500 0.359 0.180
4 Ho 0.000 0.500 0.000
5 Ho 0.000 0.000 0.500
6 Ho 0.500 0.180 0.359
7 Ho 0.500 0.820 0.180
8 Ho 0.500 0.820 0.641
9 Ho 0.500 0.180 0.820
10 Ho 0.500 0.641 0.820
11 Ho 0.000 0.500 0.500
12 La 0.000 0.000 0.000

Density of states at the Fermi level, states/eV/atom: 1.33

---

Model B:
Here is crystalline LaHo9Er2 at its relaxed geometry from Alexandria via LeMat-Bulk. Energies are from PBE.

Lattice parameters (Å, degrees): 5.008 5.008 15.042 90.00 90.00 90.00
Atoms (fractional coordinates):
1 Ho 0.000 0.500 0.500
2 Ho 0.500 0.000 0.171
3 Ho 0.500 0.000 0.500
4 Ho 0.000 0.500 0.829
5 Ho 0.500 0.000 0.829
6 Ho 0.500 0.500 0.000
7 Ho 0.500 0.500 0.664
8 Ho 0.000 0.500 0.171
9 Ho 0.500 0.500 0.336
10 Er 0.000 0.000 0.335
11 Er 0.000 0.000 0.665
12 La 0.000 0.000 0.000

Density of states at the Fermi level, states/eV/atom: 1.47

---

Short version: model B is the most stable of them.

---

Model A:
Here is crystalline LaHo4Er3 at its relaxed geometry from Alexandria via LeMat-Bulk. Energies are from PBE.

Lattice parameters (Å, degrees): 6.256 7.258 11.272 90.00 90.00 90.00
Atoms (fractional coordinates):
1 Er 0.648 0.628 0.000
2 Er 0.482 0.374 0.751
3 Er 0.148 0.372 0.500
4 Er 0.982 0.626 0.749
5 Er 0.482 0.374 0.249
6 Er 0.982 0.626 0.251
7 Ho 0.982 0.124 0.747
8 Ho 0.982 0.124 0.253
9 Ho 0.649 0.122 0.000
10 Ho 0.647 0.125 0.500
11 Ho 0.482 0.876 0.753
12 Ho 0.147 0.875 0.000
13 Ho 0.149 0.878 0.500
14 Ho 0.482 0.876 0.247
15 La 0.145 0.374 0.000
16 La 0.645 0.626 0.500

Density of states at the Fermi level, states/eV/atom: 1.59

---

Model B:
Here is crystalline LaHo4Er3 at its relaxed geometry from Alexandria via LeMat-Bulk. Energies are from PBE.

Lattice parameters (Å, degrees): 3.446 6.633 15.149 131.05 96.53 90.00
Atoms (fractional coordinates):
1 Ho 0.627 0.123 0.253
2 Ho 0.627 0.637 0.253
3 Ho 0.373 0.363 0.747
4 Ho 0.373 0.877 0.747
5 Er 0.761 0.782 0.521
6 Er 0.000 0.500 0.000
7 Er 0.239 0.218 0.479
8 La 0.500 0.000 0.000

Density of states at the Fermi level, states/eV/atom: 1.92

---

Short version: model A is the most stable of them.

---

Model A:
Here is crystalline La4Ho5Er at its relaxed geometry from Alexandria via LeMat-Bulk. Energies are from PBE.

Lattice parameters (Å, degrees): 3.537 11.455 8.750 89.97 101.66 90.00
Atoms (fractional coordinates):
1 La 0.337 0.750 0.673
2 La 0.033 0.750 0.066
3 La 0.967 0.250 0.934
4 La 0.663 0.250 0.327
5 Er 0.500 0.000 0.000
6 Ho 0.828 0.048 0.655
7 Ho 0.173 0.548 0.345
8 Ho 0.827 0.452 0.655
9 Ho 0.172 0.952 0.345
10 Ho 0.500 0.500 0.000

Density of states at the Fermi level, states/eV/atom: 1.47

---

Model B:
Here is crystalline La4Ho5Er at its relaxed geometry from Alexandria via LeMat-Bulk. Energies are from PBE.

Lattice parameters (Å, degrees): 6.012 8.186 8.186 82.25 68.46 68.46
Atoms (fractional coordinates):
1 Ho 0.140 0.624 0.000
2 Ho 0.763 0.376 0.000
3 Ho 0.763 0.000 0.376
4 Ho 0.139 0.000 0.624
5 Ho 0.691 0.000 0.000
6 La 0.451 0.678 0.322
7 La 0.451 0.322 0.678
8 La 0.773 0.678 0.678
9 La 0.129 0.322 0.322
10 Er 0.210 0.000 0.000

Density of states at the Fermi level, states/eV/atom: 1.42

---

Short version: model A is the most stable of them.

---

Model A:
Here is crystalline LaHo3Er6 at its relaxed geometry from Alexandria via LeMat-Bulk. Energies are from PBE.

Lattice parameters (Å, degrees): 8.888 8.968 8.968 116.66 90.00 90.00
Atoms (fractional coordinates):
1 Er 0.604 0.188 0.305
2 Er 0.144 0.712 0.288
3 Er 0.275 0.173 0.472
4 Er 0.287 0.948 0.052
5 Er 0.104 0.812 0.695
6 Er 0.787 0.052 0.948
7 Er 0.104 0.305 0.188
8 Er 0.604 0.695 0.812
9 Er 0.644 0.288 0.712
10 Er 0.275 0.528 0.827
11 Er 0.775 0.472 0.173
12 Er 0.775 0.827 0.528
13 La 0.011 0.225 0.775
14 La 0.511 0.775 0.225
15 Ho 0.434 0.313 0.031
16 Ho 0.934 0.687 0.969
17 Ho 0.934 0.031 0.313
18 Ho 0.416 0.547 0.453
19 Ho 0.916 0.453 0.547
20 Ho 0.434 0.969 0.687

Density of states at the Fermi level, states/eV/atom: 1.29

---

Model B:
Here is crystalline LaHo3Er6 at its relaxed geometry from Alexandria via LeMat-Bulk. Energies are from PBE.

Lattice parameters (Å, degrees): 9.768 9.768 6.846 44.49 44.49 60.00
Atoms (fractional coordinates):
1 La 0.899 0.899 0.302
2 Ho 0.397 0.397 0.810
3 Ho 0.641 0.641 0.077
4 Ho 0.148 0.148 0.556
5 Er 0.072 0.404 0.792
6 Er 0.565 0.237 0.293
7 Er 0.404 0.732 0.792
8 Er 0.237 0.904 0.293
9 Er 0.904 0.565 0.293
10 Er 0.732 0.072 0.792

Density of states at the Fermi level, states/eV/atom: 2.11

---

Short version: model A is the most stable of them.

---

Model A:
Here is crystalline La4Ho5Er2 at its relaxed geometry from Alexandria via LeMat-Bulk. Energies are from PBE.

Lattice parameters (Å, degrees): 3.675 9.616 12.166 66.68 81.30 67.55
Atoms (fractional coordinates):
1 La 0.332 0.708 0.919
2 La 0.668 0.292 0.081
3 La 0.799 0.883 0.636
4 La 0.201 0.117 0.364
5 Ho 0.592 0.657 0.502
6 Ho 0.500 0.000 0.000
7 Ho 0.004 0.870 0.251
8 Ho 0.408 0.343 0.498
9 Ho 0.996 0.130 0.749
10 Er 0.836 0.553 0.221
11 Er 0.164 0.447 0.779

Density of states at the Fermi level, states/eV/atom: 1.46

---

Model B:
Here is crystalline La4Ho5Er2 at its relaxed geometry from Alexandria via LeMat-Bulk. Energies are from PBE.

Lattice parameters (Å, degrees): 3.547 8.833 12.308 100.05 98.29 90.00
Atoms (fractional coordinates):
1 Er 0.102 0.185 0.205
2 Er 0.898 0.815 0.795
3 La 0.971 0.309 0.943
4 La 0.029 0.691 0.057
5 La 0.630 0.535 0.259
6 La 0.370 0.465 0.741
7 Ho 0.186 0.906 0.372
8 Ho 0.500 0.000 0.000
9 Ho 0.231 0.327 0.462
10 Ho 0.814 0.094 0.628
11 Ho 0.769 0.673 0.538

Density of states at the Fermi level, states/eV/atom: 1.52

---

Short version: model A is the most stable of them.

---

Model A:
Here is crystalline La2Ho7Er2 at its relaxed geometry from Alexandria via LeMat-Bulk. Energies are from PBE.

Lattice parameters (Å, degrees): 6.877 9.407 6.877 90.07 123.49 89.93
Atoms (fractional coordinates):
1 Ho 0.000 0.686 0.500
2 Ho 0.000 0.000 0.000
3 Ho 0.000 0.314 0.500
4 Ho 0.500 0.818 0.500
5 Ho 0.500 0.182 0.500
6 Ho 0.500 0.314 0.000
7 Ho 0.500 0.686 0.000
8 La 0.251 0.500 0.251
9 La 0.749 0.500 0.749
10 Er 0.724 0.000 0.276
11 Er 0.276 0.000 0.724

Density of states at the Fermi level, states/eV/atom: 1.62

---

Model B:
Here is crystalline La2Ho7Er2 at its relaxed geometry from Alexandria via LeMat-Bulk. Energies are from PBE.

Lattice parameters (Å, degrees): 8.055 10.387 8.055 126.05 88.49 53.95
Atoms (fractional coordinates):
1 Ho 0.000 0.500 0.000
2 Ho 0.232 0.681 0.245
3 Ho 0.768 0.319 0.755
4 Ho 0.245 0.319 0.232
5 Ho 0.755 0.681 0.768
6 Ho 0.652 0.075 0.348
7 Ho 0.348 0.925 0.652
8 Er 0.711 0.000 0.711
9 Er 0.289 0.000 0.289
10 La 0.215 0.691 0.785
11 La 0.785 0.309 0.215

Density of states at the Fermi level, states/eV/atom: 1.71

---

Short version: model B is the most stable of them.

---

Model A:
Here is crystalline La4HoEr at its relaxed geometry from Alexandria via LeMat-Bulk. Energies are from PBE.

Lattice parameters (Å, degrees): 5.856 7.099 9.988 90.00 90.05 90.01
Atoms (fractional coordinates):
1 La 0.000 0.000 0.327
2 La 0.500 0.500 0.828
3 La 0.000 0.000 0.673
4 La 0.499 0.000 0.172
5 La 0.501 0.000 0.828
6 La 0.001 0.500 0.327
7 La 0.999 0.500 0.673
8 La 0.500 0.500 0.172
9 Ho 0.500 0.250 0.500
10 Ho 0.500 0.750 0.500
11 Er 0.000 0.250 0.000
12 Er 0.000 0.750 0.000

Density of states at the Fermi level, states/eV/atom: 1.90

---

Model B:
Here is crystalline La4HoEr at its relaxed geometry from Alexandria via LeMat-Bulk. Energies are from PBE.

Lattice parameters (Å, degrees): 6.008 6.008 7.589 66.68 66.68 60.00
Atoms (fractional coordinates):
1 Ho 0.000 0.000 0.000
2 La 0.334 0.334 0.998
3 La 0.833 0.833 0.500
4 La 0.666 0.666 0.002
5 La 0.167 0.167 0.500
6 Er 0.500 0.500 0.500

Density of states at the Fermi level, states/eV/atom: 2.43

---

Short version: model A is the most stable of them.

---

Model A:
Here is crystalline LaHo4Er5 at its relaxed geometry from Alexandria via LeMat-Bulk. Energies are from PBE.

Lattice parameters (Å, degrees): 6.267 7.844 7.844 80.82 66.45 66.45
Atoms (fractional coordinates):
1 Er 0.182 0.909 0.621
2 Er 0.803 0.379 0.909
3 Er 0.712 0.091 0.379
4 Er 0.681 0.000 0.000
5 Er 0.091 0.621 0.091
6 La 0.224 0.000 0.000
7 Ho 0.103 0.299 0.403
8 Ho 0.506 0.597 0.299
9 Ho 0.806 0.701 0.597
10 Ho 0.402 0.403 0.701

Density of states at the Fermi level, states/eV/atom: 1.42

---

Model B:
Here is crystalline LaHo4Er5 at its relaxed geometry from Alexandria via LeMat-Bulk. Energies are from PBE.

Lattice parameters (Å, degrees): 3.541 6.747 14.389 96.53 100.16 107.87
Atoms (fractional coordinates):
1 Ho 0.585 0.198 0.782
2 Ho 0.415 0.802 0.218
3 Ho 0.817 0.734 0.801
4 Ho 0.183 0.266 0.199
5 La 0.500 0.000 0.000
6 Er 0.958 0.571 0.388
7 Er 0.241 0.117 0.417
8 Er 0.759 0.883 0.583
9 Er 0.500 0.500 0.000
10 Er 0.042 0.429 0.612

Density of states at the Fermi level, states/eV/atom: 1.63

---

Short version: model B is the most stable of them.